1.
Entry from Alexandria via LeMat-Bulk: a geometry-optimized RbFeIr structure (PBE).

abc: 4.9198 4.2661 10.3248
angles: 90.00 93.57 90.00
Site moments in Bohr magnetons follow the coordinates.
Element x y z (fractional)
Ir: 0.6275 0.2500 0.4636  0.21
Ir: 0.3725 0.7500 0.5364  0.21
Fe: 0.1296 0.2500 0.4975  2.48
Fe: 0.8704 0.7500 0.5025  2.48
Rb: 0.7180 0.2500 0.7816  -0.01
Rb: 0.2820 0.7500 0.2184  -0.01

Values from the calculation:
- energy of formation from the pure elements (meV per atom) = 423
- excess energy over the best structure of this formula in the dataset (meV per atom) = 33.1
- total magnetization (Bohr magnetons per cell) = 5.39



2.
Entry from Alexandria via LeMat-Bulk: a geometry-optimized RbFeIr structure (PBE).

abc: 12.3483 4.0102 4.0134
angles: 119.87 83.76 87.10
Site moments in Bohr magnetons follow the coordinates.
Element x y z (fractional)
Ir: 0.6758 0.9864 0.3476  0.17
Ir: 0.4669 0.0464 0.4263  0.17
Fe: 0.5714 0.3497 0.0540  2.31
Fe: 0.5713 0.6831 0.7201  -2.39
Rb: 0.8783 0.5629 0.5678  0.01
Rb: 0.2644 0.8019 0.8745  0.01

Values from the calculation:
- energy of formation from the pure elements (meV per atom) = 583
- excess energy over the best structure of this formula in the dataset (meV per atom) = 192.6
- total magnetization (Bohr magnetons per cell) = 0.31



> Among the records above, which one has the lowest excess energy over the best structure of this formula in the dataset?

number 1



> Look up the energy of formation from the pure elements of the second one.

583 meV per atom



> excess energy over the best structure of this formula in the dataset of number 1 (RbFeIr)?

33.1 meV per atom



> Number 1 is which compound?

RbFeIr